Entry 1:
This record from the Alexandria database describes a geometry-optimized AlCrFeRu structure. The functional is PBE-GGA.

a = 4.1258 Å, b = 4.1258 Å, c = 4.1258 Å
α = 60.00°, β = 60.00°, γ = 60.00°
Atoms (fractional coordinates):
Al 0.0000 0.0000 0.0000
Cr 0.5000 0.5000 0.5000
Fe 0.7500 0.7500 0.7500
Ru 0.2500 0.2500 0.2500

Formation energy from the elements   -238 meV per atom
Space-group type   F-43m (216)



Entry 2:
This record from the Alexandria database describes a geometry-optimized Rh4Br5 structure. The functional is PBE-GGA.

a = 7.5414 Å, b = 7.5414 Å, c = 7.2662 Å
α = 90.00°, β = 90.00°, γ = 120.00°
Atoms (fractional coordinates):
Rh 0.0000 0.0000 0.0000
Rh 0.0000 0.0000 0.5000
Rh 0.0000 0.4145 0.2500
Rh 0.0000 0.5855 0.7500
Rh 0.4145 0.0000 0.2500
Rh 0.4145 0.4145 0.7500
Rh 0.5855 0.0000 0.7500
Rh 0.5855 0.5855 0.2500
Br 0.0000 0.2473 0.7500
Br 0.0000 0.7527 0.2500
Br 0.2473 0.0000 0.7500
Br 0.2473 0.2473 0.2500
Br 0.3333 0.6667 0.0000
Br 0.3333 0.6667 0.5000
Br 0.6667 0.3333 0.0000
Br 0.6667 0.3333 0.5000
Br 0.7527 0.0000 0.2500
Br 0.7527 0.7527 0.7500

E_form (uncorrected)   0.498 eV/atom
Space-group type   P6_3/mcm (193)



Entry 3:
This record from the Alexandria database describes a geometry-optimized MoIr3 structure. The functional is PBE-GGA.

a = 8.2496 Å, b = 8.2496 Å, c = 8.2496 Å
α = 152.69°, β = 152.69°, γ = 39.00°
Atoms (fractional coordinates):
Mo 0.1282 0.1282 0.0000
Mo 0.8718 0.8718 0.0000
Ir 0.0000 0.5000 0.5000
Ir 0.2500 0.7500 0.5000
Ir 0.3780 0.3780 0.0000
Ir 0.5000 0.0000 0.5000
Ir 0.6220 0.6220 0.0000
Ir 0.7500 0.2500 0.5000

Formation energy from the elements   -268 meV per atom
Space-group type   I4/mmm (139)



Entry 4:
This record from the Alexandria database describes a geometry-optimized Sc5Bi2H2 structure. The functional is PBE-GGA.

a = 5.8343 Å, b = 5.8343 Å, c = 7.5316 Å
α = 94.00°, β = 94.00°, γ = 41.51°
Atoms (fractional coordinates):
Sc 0.0000 0.0000 0.0000
Sc 0.1447 0.1447 0.4327
Sc 0.2835 0.2835 0.8621
Sc 0.7165 0.7165 0.1379
Sc 0.8553 0.8553 0.5673
Bi 0.4287 0.4287 0.2737
Bi 0.5713 0.5713 0.7263
H 0.1739 0.1739 0.1101
H 0.8261 0.8261 0.8899

DFT total energy   -5.599 eV/atom
Space-group type   C2/m (12)



Entry 5:
This record from the Alexandria database describes a geometry-optimized VHgS2 structure. The functional is PBE-GGA.

a = 8.9471 Å, b = 3.1160 Å, c = 13.2548 Å
α = 90.00°, β = 90.00°, γ = 90.00°
Atoms (fractional coordinates):
V 0.0326 0.2500 0.0851
V 0.4674 0.7500 0.5851
V 0.5326 0.2500 0.4149
V 0.9674 0.7500 0.9149
Hg 0.0319 0.2500 0.6126
Hg 0.4681 0.7500 0.1126
Hg 0.5319 0.2500 0.8874
Hg 0.9681 0.7500 0.3874
S 0.1521 0.7500 0.1854
S 0.1575 0.2500 0.9350
S 0.3425 0.7500 0.4350
S 0.3479 0.2500 0.6854
S 0.6521 0.7500 0.3146
S 0.6575 0.2500 0.5650
S 0.8425 0.7500 0.0650
S 0.8479 0.2500 0.8146

E_form (uncorrected)   -0.540 eV/atom
Space-group type   Pnma (62)



Entry 6:
This record from the Alexandria database describes a geometry-optimized NaU2TiO8 structure. The functional is PBE-GGA.

a = 4.8259 Å, b = 6.9395 Å, c = 4.8287 Å
α = 90.00°, β = 91.20°, γ = 90.00°
Atoms (fractional coordinates):
Na 0.0000 0.0000 0.0000
U 0.5000 0.2511 0.5000
U 0.5000 0.7489 0.5000
Ti 0.0000 0.5000 0.0000
O 0.2002 0.2898 0.1984
O 0.2002 0.7102 0.1984
O 0.2944 0.5000 0.7039
O 0.3209 0.0000 0.6769
O 0.6791 0.0000 0.3231
O 0.7056 0.5000 0.2961
O 0.7998 0.2898 0.8016
O 0.7998 0.7102 0.8016

E_form (uncorrected)   -2.921 eV/atom
Space-group type   P2/m (10)



Entry 7:
This record from the Alexandria database describes a geometry-optimized LiSb2P structure. The functional is PBE-GGA.

a = 2.9980 Å, b = 3.7710 Å, c = 7.9456 Å
α = 90.00°, β = 90.00°, γ = 90.00°
Atoms (fractional coordinates):
Li 0.0000 0.0000 0.0000
Sb 0.5000 0.5000 0.2446
Sb 0.5000 0.5000 0.7554
P 0.5000 0.0000 0.5000

E_form (uncorrected)   0.007 eV/atom
Space-group type   Pmmm (47)



Entry 8:
This record from the Alexandria database describes a geometry-optimized ZrReBr2 structure. The functional is PBE-GGA.

a = 7.5159 Å, b = 7.5159 Å, c = 7.5159 Å
α = 152.85°, β = 146.88°, γ = 43.33°
Atoms (fractional coordinates):
Zr 0.0000 0.0000 0.0000
Re 0.5000 0.5000 0.0000
Br 0.3573 0.8573 0.5000
Br 0.6427 0.1427 0.5000

E_form (uncorrected)   0.116 eV/atom
Space-group type   Immm (71)



Entry 9:
This record from the Alexandria database describes a geometry-optimized Ca4Tl5Hg2 structure. The functional is PBE-GGA.

a = 8.1843 Å, b = 3.8092 Å, c = 10.2766 Å
α = 90.00°, β = 94.47°, γ = 90.00°
Atoms (fractional coordinates):
Ca 0.1897 0.0000 0.3725
Ca 0.2537 0.0000 0.9255
Ca 0.7463 0.0000 0.0745
Ca 0.8103 0.0000 0.6275
Tl 0.1626 0.5000 0.6427
Tl 0.4516 0.5000 0.1835
Tl 0.5000 0.5000 0.5000
Tl 0.5484 0.5000 0.8165
Tl 0.8374 0.5000 0.3573
Hg 0.0717 0.5000 0.1341
Hg 0.9283 0.5000 0.8659

Formation energy from the elements   -340 meV per atom
Space-group type   P2/m (10)



Short version: Fermi-level density of states = 3.14; 21.05; 5.26; 7.02; 9.44; 6.09; 1.02; 3.09; 5.90 states/eV/cell, in the order given.